# LiGa2OsO8

A geometry-optimized LiGa2OsO8 structure (PBE-GGA, Alexandria).

- energy (eV/atom) = -6.1263
- ΔE_f (raw) (eV per atom) = -1.221

abc: 4.8208 4.3721 6.0173
angles: 90.00 90.00 91.36
Element x y z (fractional)
Ga  0.5000  0.5000  0.2562
Os  0.0000  0.0000  0.0000
O  0.1568  0.7666  0.2190
O  0.6713  0.7318  0.0000
O  0.3287  0.2682  0.0000
O  0.8432  0.2333  0.2190
O  0.1568  0.7667  0.7810
O  0.6334  0.7575  0.5000
O  0.3666  0.2425  0.5000
Ga  0.5000  0.5000  0.7438
O  0.8432  0.2334  0.7810
Li  0.0000  0.0000  0.5000